The following is a PBE calculation of a geometry-optimized B2C structure, from the Alexandria database.

Calculated values
Energy above the most stable polymorph in this dataset: 247.0 meV/atom
Calculated formation energy: 0.432 eV per atom
Crystal system: monoclinic
Density of states at the Fermi level: 3.5 states/eV per cell

Lattice parameters (Å, degrees): 13.1412 2.6820 5.1347 90.00 107.62 90.00
Last column: nearest neighbours and their distance in Å.
Space group Cm (No. 8)
Unique sites:
B: 0.0000 0.0000 0.0000 (multiplicity 2)  2 C 1.58, 1 B 1.72
B: 0.0057 0.5000 0.6199 (multiplicity 2)  1 C 1.61, 1 B 1.75
B: 0.1223 0.0000 0.2487 (multiplicity 2)  2 C 1.63, 1 B 1.72
B: 0.1366 0.0000 0.9035 (multiplicity 2)  4 B 1.76-1.84
B: 0.1446 0.5000 0.6884 (multiplicity 2)  1 C 1.56
B: 0.2799 0.0000 0.0723 (multiplicity 2)  2 C 1.57
B: 0.3468 0.0000 0.6292 (multiplicity 2)  3 C 1.49-1.62
B: 0.4663 0.5000 0.3320 (multiplicity 2)  1 C 1.65
C: 0.1744 0.5000 0.4168 (multiplicity 2)  1 C 1.51, 3 B 1.56-1.63
C: 0.2937 0.5000 0.4692 (multiplicity 2)  2 C 1.51-1.61, 2 B 1.62
C: 0.3349 0.5000 0.2035 (multiplicity 2)  3 B 1.57-1.65, 1 C 1.61
C: 0.4488 0.0000 0.8559 (multiplicity 2)  4 B 1.49-1.61



The following is a PBE calculation of a geometry-optimized CeSb3Pd3 structure, from the Alexandria database.

Calculated values
Energy above the most stable polymorph in this dataset: 246.9 meV/atom
Energy relative to the elements, uncorrected: -270 meV per atom
Crystal system: cubic
Density of states at the Fermi level: 22.4 states/eV per cell

Lattice parameters (Å, degrees): 7.2584 7.2584 7.2584 90.00 90.00 90.00
Last column: nearest neighbours and their distance in Å.
Space group Pm-3n (No. 223)
Unique sites:
Ce: 0.0000 0.0000 0.0000 (multiplicity 2)  12 Sb 4.06, 12 Pd 4.06
Sb: 0.0000 0.2500 0.5000 (multiplicity 6)  4 Pd 2.57
Pd: 0.0000 0.5000 0.2500 (multiplicity 6)  4 Sb 2.57



The following is a PBE calculation of a geometry-optimized K2SmIrO4 structure, from the Alexandria database.

Calculated values
Energy relative to the elements, uncorrected: -1656 meV per atom
Crystal system: tetragonal
Density of states at the Fermi level: 9.5 states/eV per cell

Lattice parameters (Å, degrees): 6.2766 6.2766 7.1330 90.00 90.00 90.00
Last column: nearest neighbours and their distance in Å.
Space group I-4 (No. 82)
Unique sites:
K: 0.0000 0.0000 0.0000 (multiplicity 2)  4 O 2.63
K: 0.0000 0.5000 0.2500 (multiplicity 2)  4 O 2.69
Sm: 0.0000 0.5000 0.7500 (multiplicity 2)  4 O 2.26
Ir: 0.0000 0.0000 0.5000 (multiplicity 2)  4 O 1.98
O: 0.1506 0.7265 0.5418 (multiplicity 8)  1 Ir 1.98



The following is a PBE calculation of a geometry-optimized BeNiCl2 structure, from the Alexandria database.

Calculated values
Energy above the most stable polymorph in this dataset: 551.8 meV/atom
Energy relative to the elements, uncorrected: 93 meV per atom
Crystal system: orthorhombic
Density of states at the Fermi level: 5.7 states/eV per cell

Lattice parameters (Å, degrees): 6.4023 6.4512 6.4741 90.00 90.00 90.00
Last column: nearest neighbours and their distance in Å.
Space group Fmmm (No. 69)
Unique sites:
Be: 0.0000 0.0000 0.0000 (multiplicity 4)  4 Cl 2.28
Ni: 0.0000 0.0000 0.5000 (multiplicity 4)  4 Cl 2.28
Cl: 0.0000 0.2500 0.2500 (multiplicity 8)  2 Ni 2.28, 2 Be 2.28



The following is a PBE calculation of a geometry-optimized ScAl2H2 structure, from the Alexandria database.

Calculated values
Energy above the most stable polymorph in this dataset: 289.0 meV/atom
Crystal system: tetragonal
Density of states at the Fermi level: 7.5 states/eV per cell

Lattice parameters (Å, degrees): 3.7458 3.7458 9.8180 90.00 90.00 90.00
Last column: nearest neighbours and their distance in Å.
Space group I4/mmm (No. 139)
Unique sites:
Sc: 0.0000 0.0000 0.0000 (multiplicity 2)  8 H 2.68
Al: 0.0000 0.5000 0.2500 (multiplicity 4)  4 Al 2.65, 4 H 2.77
H: 0.0000 0.0000 0.4575 (multiplicity 4)  1 H 0.83



The following is a PBE calculation of a geometry-optimized Li2Cd9Au structure, from the Alexandria database.

Calculated values
Calculated formation energy: -0.130 eV per atom
Crystal system: triclinic
Density of states at the Fermi level: 2.9 states/eV per cell

Lattice parameters (Å, degrees): 5.4626 6.6803 6.9914 83.89 79.63 83.83
Last column: nearest neighbours and their distance in Å.
Space group P-1 (No. 2)
Unique sites:
Li: 0.2457 0.0873 0.4074 (multiplicity 2)  9 Cd 2.92-3.21, 1 Au 3.02, 1 Li 3.06
Cd: 0.0000 0.5000 0.5000 (multiplicity 1)  2 Li 3.02, 10 Cd 3.04-3.21
Cd: 0.0126 0.8440 0.1771 (multiplicity 2)  2 Li 2.93-3.05, 8 Cd 2.97-3.19, 1 Au 2.97
Cd: 0.2473 0.4042 0.0846 (multiplicity 2)  1 Li 2.92, 1 Au 2.96, 9 Cd 3.08-3.23
Cd: 0.2656 0.7570 0.7482 (multiplicity 2)  3 Li 2.95-3.21, 8 Cd 2.97-3.19, 1 Au 3.04
Cd: 0.4961 0.3103 0.6625 (multiplicity 2)  2 Li 2.92-3.03, 1 Au 2.97, 8 Cd 2.99-3.22
Au: 0.5000 0.0000 0.0000 (multiplicity 1)  10 Cd 2.96-3.29, 2 Li 3.02



The following is a PBE calculation of a geometry-optimized CsKOsCl6 structure, from the Alexandria database.

Calculated values
Energy relative to the elements, uncorrected: -1125 meV per atom
Crystal system: trigonal
Density of states at the Fermi level: 7.6 states/eV per cell

Lattice parameters (Å, degrees): 7.4957 7.4957 6.9578 90.00 90.00 120.00
Last column: nearest neighbours and their distance in Å.
Space group P312 (No. 149)
Unique sites:
Cs: 0.0000 0.0000 0.0000 (multiplicity 1)  6 Cl 3.54
K: 0.6667 0.3333 0.5000 (multiplicity 1)  6 Cl 3.14
Os: 0.3333 0.6667 0.5000 (multiplicity 1)  6 Cl 2.36
Cl: 0.0766 0.4120 0.3029 (multiplicity 6)  1 Os 2.36



The following is a PBE calculation of a geometry-optimized BaCSe3 structure, from the Alexandria database.

Calculated values
Energy above the most stable polymorph in this dataset: 0.0 meV/atom
Energy relative to the elements, uncorrected: 160 meV per atom
Crystal system: cubic
Density of states at the Fermi level: 3.7 states/eV per cell

Lattice parameters (Å, degrees): 4.7795 4.7795 4.7795 90.00 90.00 90.00
Last column: nearest neighbours and their distance in Å.
Space group Pm-3m (No. 221)
Unique sites:
Ba: 0.0000 0.0000 0.0000 (multiplicity 1)  12 Se 3.38
C: 0.5000 0.5000 0.5000 (multiplicity 1)  6 Se 2.39
Se: 0.0000 0.5000 0.5000 (multiplicity 3)  2 C 2.39



The following is a PBE calculation of a geometry-optimized Ti5V2Si structure, from the Alexandria database.

Calculated values
Energy relative to the elements, uncorrected: -83 meV per atom
Crystal system: tetragonal
Density of states at the Fermi level: 44.1 states/eV per cell

Lattice parameters (Å, degrees): 6.6864 6.6864 11.2126 90.00 90.00 90.00
Last column: nearest neighbours and their distance in Å.
Space group I4/mcm (No. 140)
Unique sites:
Ti: 0.0000 0.0000 0.0000 (multiplicity 4)  4 V 2.54, 2 Si 2.80
Ti: 0.1554 0.3446 0.1583 (multiplicity 16)  3 V 2.55-2.71, 1 Ti 2.73, 2 Si 2.73
V: 0.1503 0.3497 0.5000 (multiplicity 8)  8 Ti 2.54-2.71, 1 V 2.84
Si: 0.0000 0.0000 0.2500 (multiplicity 4)  10 Ti 2.73-2.80



The following is a PBE calculation of a geometry-optimized Cr2ReOs structure, from the Alexandria database.

Calculated values
Calculated formation energy: 0.148 eV per atom
Crystal system: orthorhombic
Density of states at the Fermi level: 9.3 states/eV per cell

Lattice parameters (Å, degrees): 5.4003 7.3420 2.6977 90.00 90.00 90.00
Last column: nearest neighbours and their distance in Å.
Space group Cmmm (No. 65)
Unique sites:
Cr: 0.2500 0.2500 0.0000 (multiplicity 4)  4 Re 2.65, 4 Os 2.65, 4 Cr 2.70
Re: 0.0000 0.0000 0.5000 (multiplicity 2)  8 Cr 2.65, 2 Re 2.70, 2 Os 2.70
Os: 0.0000 0.5000 0.5000 (multiplicity 2)  8 Cr 2.65, 2 Os 2.70, 2 Re 2.70



The following is a PBE calculation of a geometry-optimized RbPt structure, from the Alexandria database.

Calculated values
Calculated formation energy: -0.133 eV per atom
Crystal system: monoclinic
Density of states at the Fermi level: 10.9 states/eV per cell

Lattice parameters (Å, degrees): 7.9532 4.5888 14.5587 90.00 90.60 90.00
Last column: nearest neighbours and their distance in Å.
Space group Cm (No. 8)
Unique sites:
Rb: 0.0000 0.0000 0.0000 (multiplicity 2)  1 Pt 3.08
Rb: 0.1561 0.5000 0.3072 (multiplicity 2)  6 Rb 4.59
Rb: 0.3239 0.0000 0.6142 (multiplicity 2)  1 Pt 3.08
Pt: 0.1621 0.5000 0.8073 (multiplicity 2)  6 Pt 2.66
Pt: 0.3292 0.0000 0.8257 (multiplicity 2)  6 Pt 2.66-2.71
Pt: 0.4951 0.5000 0.7887 (multiplicity 2)  6 Pt 2.66-2.71



The following is a PBE calculation of a geometry-optimized Cs2Hg3SbPb4 structure, from the Alexandria database.

Calculated values
Energy relative to the elements, uncorrected: -129 meV per atom
Crystal system: tetragonal
Density of states at the Fermi level: 4.5 states/eV per cell

Lattice parameters (Å, degrees): 5.3909 5.3909 12.5147 90.00 90.00 90.00
Last column: nearest neighbours and their distance in Å.
Space group P-4m2 (No. 115)
Unique sites:
Cs: 0.0000 0.5000 0.2394 (multiplicity 2)  6 Hg 4.03-4.16, 2 Sb 4.03, 8 Pb 4.07-4.23
Hg: 0.0000 0.0000 0.0000 (multiplicity 1)  4 Pb 3.12
Hg: 0.0000 0.5000 0.6272 (multiplicity 2)  5 Pb 3.10-3.13
Sb: 0.5000 0.5000 0.0000 (multiplicity 1)  4 Pb 3.12
Pb: 0.0000 0.0000 0.5000 (multiplicity 1)  4 Hg 3.13
Pb: 0.0000 0.5000 0.8746 (multiplicity 2)  3 Hg 3.10-3.12, 2 Sb 3.12
Pb: 0.5000 0.5000 0.5000 (multiplicity 1)  4 Hg 3.13